(1)
A relaxed structure of MgCu5Pd6. Source: OQMD via LeMat-Bulk, functional PBE-GGA.

Output
calculated total energy = -4.531 eV/atom

Structure (POSCAR):
```
MgCu5Pd6
1.0
4.2840 0.0000 0.0000
0.0311 6.0904 0.0000
2.1390 0.0286 6.4271
Pd Cu Mg
6 5 1
Cartesian
4.2917 1.5487 2.1745 Pd
2.1672 4.5477 0.0000 Pd
2.1478 1.5575 4.2521 Pd
4.3063 4.5615 2.1750 Pd
2.1624 4.5703 4.2526 Pd
2.1479 1.5426 0.0000 Pd
4.2789 0.0190 4.2770 Cu
0.0155 3.0452 0.0000 Cu
2.1441 0.0096 2.1501 Cu
4.2985 3.0648 4.3090 Cu
2.1555 3.0542 2.1181 Cu
0.0000 0.0000 0.0000 Mg
```

---

(2)
A relaxed structure of Al10W3. Source: OQMD via LeMat-Bulk, functional PBE-GGA.

Output
calculated total energy = -5.834 eV/atom
relative energy among the computed polymorphs = 0.0000 eV per atom
spin magnetization = 0.0 μB per formula unit

Structure (POSCAR):
```
Al10W3
1.0
-4.2355 5.7118 6.2709
0.6858 7.1396 6.2003
-2.5110 8.7806 2.5465
Al W
10 3
Cartesian
-2.7543 9.8308 6.8249 Al
-3.3063 11.8012 8.1928 Al
-2.6527 4.7149 4.4384 Al
-3.9485 14.0935 9.7842 Al
-5.8949 16.1955 10.6151 Al
-3.4079 16.9171 10.5794 Al
-2.1120 7.5385 5.2335 Al
-1.7812 6.2657 2.5562 Al
-4.2794 15.3663 12.4615 Al
-0.1657 5.4364 4.4027 Al
0.0000 0.0000 0.0000 W
-5.0244 17.9334 12.4501 W
-1.0362 3.6986 2.5677 W
```

---

(3)
A relaxed structure of Pr2Nd2CI3Cl2. Source: OQMD via LeMat-Bulk, functional PBE-GGA.

Output
calculated total energy = -5.013 eV/atom
relative energy among the computed polymorphs = 0.0000 eV per atom
spin magnetization = 0.2 μB per formula unit

Structure (POSCAR):
```
Pr2Nd2CI3Cl2
1.0
9.4971 -2.0265 0.0000
9.4971 2.0265 0.0000
-1.7318 0.0000 8.6985
Nd Cl C I Pr
2 2 1 3 2
Cartesian
5.3060 0.0000 8.1072 Nd
11.9564 0.0000 0.5913 Nd
2.3696 0.0000 2.5818 Cl
14.8928 0.0000 6.1167 Cl
9.4971 0.0000 0.0000 C
8.6312 0.0000 4.3492 I
1.8916 0.0000 7.0905 I
15.3708 0.0000 1.6080 I
-1.3679 0.0000 6.9888 Pr
18.6303 0.0000 1.7097 Pr
```